PrCu3Sb3: relaxed, GGA-PBE.

Structure (CIF):
```
data_PrCu3Sb3
_chemical_formula_sum 'Pr2 Cu6 Sb6'
_space_group_name_H-M_alt 'P 1'
_space_group_IT_number 1
_cell_length_a 7.0729
_cell_length_b 7.0729
_cell_length_c 7.0729
_cell_angle_alpha 90.00
_cell_angle_beta 90.00
_cell_angle_gamma 90.00
loop_
_space_group_symop_operation_xyz
'x,y,z'
loop_
_atom_site_label
_atom_site_type_symbol
_atom_site_fract_x
_atom_site_fract_y
_atom_site_fract_z
_atom_site_occupancy
Pr1 Pr 0.0000 0.0000 0.0000 1
Pr2 Pr 0.5000 0.5000 0.5000 1
Cu1 Cu 0.0000 0.2500 0.5000 1
Cu2 Cu 0.0000 0.7500 0.5000 1
Cu3 Cu 0.2500 0.5000 0.0000 1
Cu4 Cu 0.5000 0.0000 0.2500 1
Cu5 Cu 0.5000 0.0000 0.7500 1
Cu6 Cu 0.7500 0.5000 0.0000 1
Sb1 Sb 0.0000 0.5000 0.2500 1
Sb2 Sb 0.0000 0.5000 0.7500 1
Sb3 Sb 0.2500 0.0000 0.5000 1
Sb4 Sb 0.5000 0.2500 0.0000 1
Sb5 Sb 0.5000 0.7500 0.0000 1
Sb6 Sb 0.7500 0.0000 0.5000 1
```

Results
E_form (uncorrected) ... 0.01 eV per atom
DFT total energy ... -29.4 eV/f.u.
Density of states at the Fermi level ... 4.5 states/eV per cell